# TaOs2Au

A geometry-optimized TaOs2Au structure (PBE-GGA, the Alexandria database).

The structure in CIF format:
```
data_TaOs2Au
_symmetry_space_group_name_H-M 'F -4 3 m'
_symmetry_Int_Tables_number 216
_symmetry_space_group_name_Hall 'F -4 2 3'
_cell_length_a 6.377
_cell_length_b 6.377
_cell_length_c 6.377
_cell_angle_alpha 90.00
_cell_angle_beta 90.00
_cell_angle_gamma 90.00
loop_
_atom_site_label
_atom_site_type_symbol
_atom_site_fract_x
_atom_site_fract_y
_atom_site_fract_z
Ta1 Ta 0.000 0.000 0.000
Os1 Os 0.000 0.000 0.500
Os2 Os 0.250 0.250 0.250
Au1 Au 0.250 0.250 0.750
```

Calculated values
- Total energy: -8.91 eV per atom
- Energy above the most stable polymorph in this dataset: 0.466 eV per atom

# Ta3OsAu

A geometry-optimized Ta3OsAu structure (PBE-GGA, the Alexandria database).

The structure in CIF format:
```
data_Ta3OsAu
_symmetry_space_group_name_H-M 'P m -3 m'
_symmetry_Int_Tables_number 221
_symmetry_space_group_name_Hall '-P 4 2 3'
_cell_length_a 4.834
_cell_length_b 4.834
_cell_length_c 4.834
_cell_angle_alpha 90.00
_cell_angle_beta 90.00
_cell_angle_gamma 90.00
loop_
_atom_site_label
_atom_site_type_symbol
_atom_site_fract_x
_atom_site_fract_y
_atom_site_fract_z
Ta1 Ta 0.000 0.000 0.500
Os1 Os 0.500 0.500 0.500
Au1 Au 0.000 0.000 0.000
```

Calculated values
- Total energy: -7.85 eV per atom
- Energy above the most stable polymorph in this dataset: 1.056 eV per atom

# TaOs2Au

A geometry-optimized TaOs2Au structure (PBE-GGA, the Alexandria database).

The structure in CIF format:
```
data_TaOs2Au
_symmetry_space_group_name_H-M 'C m m m'
_symmetry_Int_Tables_number 65
_symmetry_space_group_name_Hall '-C 2 2'
_cell_length_a 5.694
_cell_length_b 7.470
_cell_length_c 2.996
_cell_angle_alpha 90.00
_cell_angle_beta 90.00
_cell_angle_gamma 90.00
loop_
_atom_site_label
_atom_site_type_symbol
_atom_site_fract_x
_atom_site_fract_y
_atom_site_fract_z
Ta1 Ta 0.000 0.000 0.000
Os1 Os 0.250 0.250 0.500
Au1 Au 0.000 0.500 0.000
```

Calculated values
- Total energy: -9.19 eV per atom
- Energy above the most stable polymorph in this dataset: 0.186 eV per atom

# TaOs2Au

A geometry-optimized TaOs2Au structure (PBE-GGA, the Alexandria database).

The structure in CIF format:
```
data_TaOs2Au
_symmetry_space_group_name_H-M 'P 1 2/m 1'
_symmetry_Int_Tables_number 10
_cell_length_a 2.777
_cell_length_b 4.618
_cell_length_c 5.050
_cell_angle_alpha 90.00
_cell_angle_beta 93.85
_cell_angle_gamma 90.00
loop_
_symmetry_equiv_pos_as_xyz
'x,y,z'
'-x,-y,-z'
'-x,y,-z'
'x,-y,z'
loop_
_atom_site_label
_atom_site_type_symbol
_atom_site_fract_x
_atom_site_fract_y
_atom_site_fract_z
Ta1 Ta 0.000 0.000 0.000
Os1 Os 0.232 0.500 0.756
Au1 Au 0.500 0.000 0.500
```

Calculated values
- Total energy: -9.05 eV per atom
- Energy above the most stable polymorph in this dataset: 0.328 eV per atom

# TaOs2Au

A geometry-optimized TaOs2Au structure (PBE-GGA, the Alexandria database).

The structure in CIF format:
```
data_TaOs2Au
_symmetry_space_group_name_H-M 'I -4 m 2'
_symmetry_Int_Tables_number 119
_symmetry_space_group_name_Hall 'I -4 -2'
_cell_length_a 3.934
_cell_length_b 3.934
_cell_length_c 8.160
_cell_angle_alpha 90.00
_cell_angle_beta 90.00
_cell_angle_gamma 90.00
loop_
_atom_site_label
_atom_site_type_symbol
_atom_site_fract_x
_atom_site_fract_y
_atom_site_fract_z
Ta1 Ta 0.000 0.000 0.000
Os1 Os 0.000 0.000 0.500
Os2 Os 0.000 0.500 0.750
Au1 Au 0.000 0.500 0.250
```

Calculated values
- Total energy: -9.28 eV per atom
- Energy above the most stable polymorph in this dataset: 0.093 eV per atom

# TaOs2Au

A geometry-optimized TaOs2Au structure (PBE-GGA, the Alexandria database).

The structure in CIF format:
```
data_TaOs2Au
_symmetry_space_group_name_H-M 'C m m m'
_symmetry_Int_Tables_number 65
_symmetry_space_group_name_Hall '-C 2 2'
_cell_length_a 3.130
_cell_length_b 4.627
_cell_length_c 9.093
_cell_angle_alpha 90.00
_cell_angle_beta 90.00
_cell_angle_gamma 90.00
loop_
_atom_site_label
_atom_site_type_symbol
_atom_site_fract_x
_atom_site_fract_y
_atom_site_fract_z
Ta1 Ta 0.000 0.000 0.000
Os1 Os 0.000 0.500 0.232
Au1 Au 0.000 0.000 0.500
```

Calculated values
- Total energy: -9.09 eV per atom
- Energy above the most stable polymorph in this dataset: 0.287 eV per atom

# TaOs2Au

A geometry-optimized TaOs2Au structure (PBE-GGA, the Alexandria database).

The structure in CIF format:
```
data_TaOs2Au
_symmetry_space_group_name_H-M 'P 4/m m m'
_symmetry_Int_Tables_number 123
_symmetry_space_group_name_Hall '-P 4 2'
_cell_length_a 4.042
_cell_length_b 4.042
_cell_length_c 3.841
_cell_angle_alpha 90.00
_cell_angle_beta 90.00
_cell_angle_gamma 90.00
loop_
_atom_site_label
_atom_site_type_symbol
_atom_site_fract_x
_atom_site_fract_y
_atom_site_fract_z
Ta1 Ta 0.000 0.000 0.000
Os1 Os 0.000 0.500 0.500
Au1 Au 0.500 0.500 0.000
```

Calculated values
- Total energy: -9.38 eV per atom
- Energy above the most stable polymorph in this dataset: 0.000 eV per atom

# TaOs2Au

A geometry-optimized TaOs2Au structure (PBE-GGA, the Alexandria database).

The structure in CIF format:
```
data_TaOs2Au
_symmetry_space_group_name_H-M 'P 4 m m'
_symmetry_Int_Tables_number 99
_cell_length_a 2.816
_cell_length_b 2.816
_cell_length_c 8.148
_cell_angle_alpha 90.00
_cell_angle_beta 90.00
_cell_angle_gamma 90.00
loop_
_symmetry_equiv_pos_as_xyz
'x,y,z'
'-y,x,z'
'-x,-y,z'
'y,-x,z'
'-x,y,z'
'y,x,z'
'x,-y,z'
'-y,-x,z'
loop_
_atom_site_label
_atom_site_type_symbol
_atom_site_fract_x
_atom_site_fract_y
_atom_site_fract_z
Ta1 Ta 0.000 0.000 0.000
Os1 Os 0.000 0.000 0.530
Os2 Os 0.500 0.500 0.738
Au1 Au 0.500 0.500 0.260
```

Calculated values
- Total energy: -9.32 eV per atom
- Energy above the most stable polymorph in this dataset: 0.060 eV per atom

# TaOs2Au

A geometry-optimized TaOs2Au structure (PBE-GGA, the Alexandria database).

The structure in CIF format:
```
data_TaOs2Au
_symmetry_space_group_name_H-M 'F m -3 m'
_symmetry_Int_Tables_number 225
_symmetry_space_group_name_Hall '-F 4 2 3'
_cell_length_a 6.363
_cell_length_b 6.363
_cell_length_c 6.363
_cell_angle_alpha 90.00
_cell_angle_beta 90.00
_cell_angle_gamma 90.00
loop_
_atom_site_label
_atom_site_type_symbol
_atom_site_fract_x
_atom_site_fract_y
_atom_site_fract_z
Ta1 Ta 0.000 0.000 0.000
Os1 Os 0.250 0.250 0.250
Au1 Au 0.000 0.000 0.500
```

Calculated values
- Total energy: -9.11 eV per atom
- Energy above the most stable polymorph in this dataset: 0.266 eV per atom

# TaOs2Au

A geometry-optimized TaOs2Au structure (PBE-GGA, the Alexandria database).

The structure in CIF format:
```
data_TaOs2Au
_symmetry_space_group_name_H-M 'P 4/m m m'
_symmetry_Int_Tables_number 123
_symmetry_space_group_name_Hall '-P 4 2'
_cell_length_a 3.300
_cell_length_b 3.300
_cell_length_c 5.955
_cell_angle_alpha 90.00
_cell_angle_beta 90.00
_cell_angle_gamma 90.00
loop_
_atom_site_label
_atom_site_type_symbol
_atom_site_fract_x
_atom_site_fract_y
_atom_site_fract_z
Ta1 Ta 0.000 0.000 0.000
Os1 Os 0.500 0.500 0.239
Au1 Au 0.000 0.000 0.500
```

Calculated values
- Total energy: -9.18 eV per atom
- Energy above the most stable polymorph in this dataset: 0.193 eV per atom

# TaOs2Au

A geometry-optimized TaOs2Au structure (PBE-GGA, the Alexandria database).

The structure in CIF format:
```
data_TaOs2Au
_symmetry_space_group_name_H-M 'I -4 2 d'
_symmetry_Int_Tables_number 122
_symmetry_space_group_name_Hall 'I -4 2bw'
_cell_length_a 3.925
_cell_length_b 3.925
_cell_length_c 18.624
_cell_angle_alpha 90.00
_cell_angle_beta 90.00
_cell_angle_gamma 90.00
loop_
_atom_site_label
_atom_site_type_symbol
_atom_site_fract_x
_atom_site_fract_y
_atom_site_fract_z
Ta1 Ta 0.000 0.000 0.000
Os1 Os 0.190 0.250 0.625
Au1 Au 0.000 0.000 0.500
```

Calculated values
- Total energy: -8.70 eV per atom
- Energy above the most stable polymorph in this dataset: 0.682 eV per atom

# TaOsAu4

A geometry-optimized TaOsAu4 structure (PBE-GGA, the Alexandria database).

The structure in CIF format:
```
data_TaOsAu4
_symmetry_space_group_name_H-M 'F -4 3 m'
_symmetry_Int_Tables_number 216
_symmetry_space_group_name_Hall 'F -4 2 3'
_cell_length_a 7.535
_cell_length_b 7.535
_cell_length_c 7.535
_cell_angle_alpha 90.00
_cell_angle_beta 90.00
_cell_angle_gamma 90.00
loop_
_atom_site_label
_atom_site_type_symbol
_atom_site_fract_x
_atom_site_fract_y
_atom_site_fract_z
Ta1 Ta 0.000 0.000 0.000
Os1 Os 0.250 0.250 0.250
Au1 Au 0.125 0.125 0.625
```

Calculated values
- Total energy: -5.37 eV per atom

> total energy of number 12 (TaOsAu4)?

-5.37 eV per atom

> What is the total energy in the first record?

-8.91 eV per atom